(1)
## TlFeSi2 (GGA-PBE)

Data for TlFeSi2 after structural relaxation.

a = 4.0400 Å, b = 4.0826 Å, c = 4.7303 Å
α = 74.96°, β = 90.00°, γ = 90.00°
Each line ends with the local moment (μB).
Positions (direct):
Fe1 0.5000 0.7500 0.7500  1.38
Tl1 0.5000 0.2500 0.2500  -0.03
Si1 0.0000 0.7013 0.5144  -0.03
Si2 0.0000 0.7987 0.9856  -0.03

Calculated values
energy relative to the lowest polymorph listed for this composition = 102 kJ/mol of formula units
ρ = 6.97 g cm⁻³
electronic total energy = -5.02 eV/atom
raw formation energy = 397 meV/atom
size of the total moment = 1.3 μB/cell
SG = No. 10

=====

(2)
## KNbAsSe2 (GGA-PBE)

Data for KNbAsSe2 after structural relaxation.

a = 5.1366 Å, b = 5.1366 Å, c = 5.0984 Å
α = 90.00°, β = 90.00°, γ = 90.00°
Positions (direct):
K1 0.5000 0.5000 0.5000
Se1 0.0000 0.5000 0.0000
Se2 0.5000 0.0000 0.0000
Nb1 0.0000 0.0000 0.0000
As1 0.0000 0.0000 0.5000

Calculated values
energy relative to the lowest polymorph listed for this composition = 0 kJ/mol of formula units
ρ = 4.50 g cm⁻³
electronic total energy = -5.09 eV/atom
raw formation energy = -536 meV/atom
size of the total moment = 0.0 μB/cell
SG = No. 123

=====

(3)
## CaYOs2 (GGA-PBE)

Data for CaYOs2 after structural relaxation.

a = 4.7510 Å, b = 4.7510 Å, c = 4.7510 Å
α = 60.00°, β = 60.00°, γ = 60.00°
Positions (direct):
Os1 0.2500 0.2500 0.2500
Os2 0.0000 0.0000 0.0000
Y1 0.7500 0.7500 0.7500
Ca1 0.5000 0.5000 0.5000

Calculated values
ρ = 11.16 g cm⁻³
electronic total energy = -7.26 eV/atom
size of the total moment = 0.0 μB/cell
SG = No. 216

=====

(4)
## CsRb2Ca (GGA-PBE)

Data for CsRb2Ca after structural relaxation.

a = 4.7188 Å, b = 4.7188 Å, c = 14.1983 Å
α = 90.00°, β = 90.00°, γ = 90.00°
Positions (direct):
Rb1 0.0000 0.0000 0.2105
Rb2 0.0000 0.0000 0.7895
Cs1 0.5000 0.5000 0.5000
Ca1 0.5000 0.5000 0.0000

Calculated values
energy relative to the lowest polymorph listed for this composition = 0 kJ/mol of formula units
ρ = 1.81 g cm⁻³
electronic total energy = -1.04 eV/atom
size of the total moment = 0.0 μB/cell
SG = No. 123

=====

(5)
## Li7Ca3Tl2 (GGA-PBE)

Data for Li7Ca3Tl2 after structural relaxation.

a = 6.0719 Å, b = 6.0719 Å, c = 10.2432 Å
α = 72.76°, β = 72.76°, γ = 60.00°
Positions (direct):
Li1 0.0780 0.5804 0.7612
Li2 0.4196 0.4196 0.2388
Li3 0.4196 0.9220 0.2388
Li4 0.5804 0.0780 0.7612
Li5 0.5804 0.5804 0.7612
Li6 0.5000 0.5000 0.5000
Li7 0.9220 0.4196 0.2388
Ca1 0.8582 0.8582 0.4254
Ca2 0.1418 0.1418 0.5746
Ca3 0.0000 0.0000 0.0000
Tl1 0.3334 0.3334 0.9999
Tl2 0.6666 0.6666 0.0001

Calculated values
energy relative to the lowest polymorph listed for this composition = 0 kJ/mol of formula units
ρ = 3.12 g cm⁻³
electronic total energy = -2.13 eV/atom
size of the total moment = 0.0 μB/cell
SG = No. 166

=====

(6)
## La2GaSnRh (GGA-PBE)

Data for La2GaSnRh after structural relaxation.

a = 5.4774 Å, b = 5.4774 Å, c = 4.8296 Å
α = 90.00°, β = 90.00°, γ = 90.00°
Positions (direct):
Sn1 0.5000 0.5000 0.5000
La1 0.0000 0.5000 0.0000
La2 0.5000 0.0000 0.0000
Ga1 0.0000 0.0000 0.5000
Rh1 0.0000 0.0000 0.0000

Calculated values
ρ = 6.52 g cm⁻³
electronic total energy = -5.52 eV/atom
size of the total moment = 0.0 μB/cell
SG = No. 123

=====

(7)
## Ti2GeI (GGA-PBE)

Data for Ti2GeI after structural relaxation.

a = 4.7148 Å, b = 4.7148 Å, c = 4.7148 Å
α = 60.00°, β = 60.00°, γ = 60.00°
Positions (direct):
Ti1 0.7500 0.7500 0.7500
Ti2 0.2500 0.2500 0.2500
I1 0.5000 0.5000 0.5000
Ge1 0.0000 0.0000 0.0000

Calculated values
energy relative to the lowest polymorph listed for this composition = 0 kJ/mol of formula units
ρ = 6.62 g cm⁻³
electronic total energy = -5.48 eV/atom
raw formation energy = 6 meV/atom
size of the total moment = 0.0 μB/cell
SG = No. 225

=====

(8)
## RbV2N (GGA-PBE)

Data for RbV2N after structural relaxation.

a = 6.4257 Å, b = 6.4257 Å, c = 6.4279 Å
α = 60.01°, β = 60.01°, γ = 90.00°
Each line ends with the local moment (μB).
Positions (direct):
V1 0.3750 0.6250 0.7500  2.39
V2 0.8750 0.6250 0.7500  2.39
V3 0.3750 0.1250 0.2500  2.39
V4 0.3750 0.6250 0.2500  2.39
Rb1 0.7500 0.2500 0.5000  0.05
Rb2 0.0000 0.0000 0.0000  0.05
N1 0.2500 0.7500 0.5000  -0.18
N2 0.5000 0.5000 0.0000  -0.18

Calculated values
ρ = 3.56 g cm⁻³
electronic total energy = -6.54 eV/atom
raw formation energy = 341 meV/atom
size of the total moment = 11.9 μB/cell
SG = No. 227

=====

Q: The highest size of the total moment belongs to which entry?
A: RbV2N